DFT (GGA-PBE) results for crystalline Th3Bi2 at its relaxed geometry.

Calculated values
DOS(E_F), states/eV per cell: 12.0
Excess energy over the best structure of this formula in the dataset, eV per formula unit: 1.36
Total DFT energy (no corrections), eV/atom: -6.03
Theoretical density, g/cm³: 9.9

a b c (Å): 7.647 7.647 8.618
angles (deg): 63.66 63.66 60.00
Element x y z (fractional)
Bi1 0.329 0.329 0.013
Th1 0.750 0.397 0.750
Bi2 0.171 0.171 0.487
Th2 0.897 0.250 0.250
Bi3 0.671 0.671 0.987
Th3 0.397 0.103 0.750
Th4 0.250 0.603 0.250
Th5 0.103 0.750 0.750
Bi4 0.829 0.829 0.513
Th6 0.603 0.897 0.250

=====

DFT (GGA-PBE) results for crystalline ThBi3 at its relaxed geometry.

Calculated values
DOS(E_F), states/eV per cell: 1.9
Total DFT energy (no corrections), eV/atom: -5.11
Theoretical density, g/cm³: 11.6

a b c (Å): 4.970 4.969 4.978
angles (deg): 90.00 90.00 90.00
Element x y z (fractional)
Th1 0.000 0.584 0.000
Bi1 0.000 0.083 0.500
Bi2 0.500 0.083 0.000
Bi3 0.500 0.583 0.500

=====

DFT (GGA-PBE) results for crystalline Th4Bi3 at its relaxed geometry.

Calculated values
DOS(E_F), states/eV per cell: 16.8
Total DFT energy (no corrections), eV/atom: -6.36
Theoretical density, g/cm³: 11.4

a b c (Å): 8.390 8.390 8.390
angles (deg): 109.47 109.47 109.47
Last column: magnetic moment on the atom in μB.
Element x y z (fractional)
Bi1 0.250 0.875 0.125  -0.01
Bi2 0.750 0.625 0.375  -0.01
Th1 0.500 0.351 0.500  0.14
Bi3 0.625 0.750 0.875  -0.01
Bi4 0.125 0.375 0.250  -0.01
Th2 0.000 0.000 0.851  0.14
Th3 0.500 0.851 0.500  0.14
Th4 0.351 0.500 0.000  0.14
Th5 0.000 0.000 0.351  0.14
Bi5 0.375 0.125 0.750  -0.01
Th6 0.851 0.500 0.000  0.14
Th7 0.649 0.149 0.149  0.14
Th8 0.149 0.649 0.649  0.14
Bi6 0.875 0.250 0.625  -0.01

=====

DFT (GGA-PBE) results for crystalline Th5Bi3 at its relaxed geometry.

Calculated values
DOS(E_F), states/eV per cell: 22.1
Total DFT energy (no corrections), eV/atom: -6.50
Theoretical density, g/cm³: 11.5

a b c (Å): 6.498 9.558 9.558
angles (deg): 120.00 90.00 90.00
Element x y z (fractional)
Th1 0.000 0.667 0.333
Th2 0.250 0.253 0.253
Bi1 0.250 0.612 0.612
Bi2 0.750 0.388 0.388
Th3 0.250 0.747 0.000
Bi3 0.250 0.000 0.388
Bi4 0.750 0.612 0.000
Th4 0.000 0.333 0.667
Th5 0.250 0.000 0.747
Th6 0.500 0.667 0.333
Bi5 0.750 0.000 0.612
Bi6 0.250 0.388 0.000
Th7 0.750 0.253 0.000
Th8 0.750 0.000 0.253
Th9 0.750 0.747 0.747
Th10 0.500 0.333 0.667

=====

DFT (GGA-PBE) results for crystalline ThBi3 at its relaxed geometry.

Calculated values
DOS(E_F), states/eV per cell: 3.1
Total DFT energy (no corrections), eV/atom: -5.12
Theoretical density, g/cm³: 11.5

a b c (Å): 4.702 4.702 6.514
angles (deg): 111.16 111.16 90.00
Element x y z (fractional)
Bi1 0.250 0.750 0.500
Th1 0.000 0.000 0.000
Bi2 0.500 0.500 0.000
Bi3 0.750 0.250 0.500

=====

DFT (GGA-PBE) results for crystalline Th3Bi2 at its relaxed geometry.

Calculated values
DOS(E_F), states/eV per cell: 18.9
Excess energy over the best structure of this formula in the dataset, eV per formula unit: 0.00
Total DFT energy (no corrections), eV/atom: -6.30
Theoretical density, g/cm³: 11.2

a b c (Å): 8.413 8.637 9.108
angles (deg): 90.00 90.00 90.00
Element x y z (fractional)
Bi1 0.210 0.884 0.148
Bi2 0.710 0.884 0.352
Th1 0.638 0.250 0.500
Bi3 0.290 0.384 0.352
Th2 0.489 0.876 0.844
Th3 0.011 0.376 0.656
Th4 0.511 0.124 0.156
Th5 0.489 0.624 0.156
Bi4 0.790 0.116 0.852
Th6 0.989 0.624 0.344
Bi5 0.710 0.616 0.648
Th7 0.511 0.376 0.844
Bi6 0.290 0.116 0.648
Th8 0.989 0.876 0.656
Th9 0.862 0.750 0.000
Bi7 0.790 0.384 0.148
Th10 0.362 0.750 0.500
Bi8 0.210 0.616 0.852
Th11 0.138 0.250 0.000
Th12 0.011 0.124 0.344

=====

Q: Look up the DOS(E_F) of the sixth one.
A: 18.9 states/eV per cell

=====

Q: Which of these has the highest DOS(E_F)?
A: Th5Bi3